## CoTcPO2 (PBE+U)

Data for a relaxed CoTcPO2 crystal.

volume = 73 Å³/cell
energy above the most stable polymorph in this dataset = 0 meV/atom
magnetic moment = 2.23 μB per formula unit

abc: 3.716 3.716 5.266
angles: 90.00 90.00 90.00
Atoms (fractional coordinates):
Co  0.000  0.000  0.000
Tc  0.500  0.500  0.500
P  0.500  0.500  0.000
O  0.000  0.500  0.500
O  0.500  0.000  0.500